# Cs2H6Pt (SCAN, single point on PBEsol structure)
# Raw total energy (eV/atom): -19.019
# Size of the total moment (μB per cell): 0.0
# Fermi-level density of states (states/eV/f.u.): 0.00
data_Cs2H6Pt
_space_group_name_H-M_alt 'F m -3 m'
_space_group_IT_number 225
_space_group_name_Hall '-F 4 2 3'
_cell_length_a 8.705
_cell_length_b 8.705
_cell_length_c 8.705
_cell_angle_alpha 90.00
_cell_angle_beta 90.00
_cell_angle_gamma 90.00
loop_
_atom_site_label
_atom_site_type_symbol
_atom_site_fract_x
_atom_site_fract_y
_atom_site_fract_z
_atom_site_occupancy
Cs1 Cs 0.250 0.250 0.250 1
H1 H 0.000 0.000 0.189 1
Pt1 Pt 0.000 0.000 0.000 1